Entry 1:
GGA-PBE LaCdCl, relaxed; formation energy without anion corrections = -0.968 eV/atom; N(E_F) = 3.7 states/eV/cell; space-group type = C2/m; E above lowest polymorph = 0.0 meV/atom; total magnetization = 0.00 μB per cell
1.0
4.0969 0.0350 -0.0527
0.0150 4.0970 -0.0527
-1.9066 -1.9159 9.6796
La Cl Cd
2 2 2
Direct
0.8276 0.8276 0.1545
0.1724 0.1724 0.8455
0.3270 0.3270 0.1530
0.6730 0.6730 0.8470
0.2481 0.2481 0.4991
0.7519 0.7519 0.5009

Entry 2:
GGA-PBE La2MgZn3Cu4, relaxed; DFT formation energy = -2.1 eV/f.u.; N(E_F) = 5.5 states/eV/cell; space-group type = P-4m2; total magnetization = 0.00 μB per cell
1.0
-3.0084 1.1522 2.5782
-2.8235 -1.2928 -2.7169
0.1346 -10.2479 4.7366
Zn La Cu Mg
3 2 4 1
Direct
0.5000 0.0000 0.8752
0.0000 0.0000 0.5000
0.0000 0.5000 0.1248
0.5000 0.0000 0.2385
0.0000 0.5000 0.7615
0.5000 0.0000 0.6494
0.0000 0.5000 0.3506
0.0000 0.0000 0.0000
0.5000 0.5000 0.0000
0.5000 0.5000 0.5000